1.
A geometry-optimized Dy2InGaPt4 structure, computed with PBE-GGA.

Lattice parameters (Å, degrees): 4.4837 4.4837 9.0991 90.00 90.00 120.00
Space group P-3m1 (No. 164)
Symmetry-distinct sites (fractional):
Dy1 0.3333 0.6667 0.2549 x2
In1 0.0000 0.0000 0.0000 x1
Ga1 0.0000 0.0000 0.5000 x1
Pt1 0.3333 0.6667 0.5836 x2
Pt2 0.3333 0.6667 0.9035 x2

2.
A geometry-optimized Pr2HoAg4Sn4 structure, computed with PBE-GGA.

Lattice parameters (Å, degrees): 4.724 7.239 15.545 90.00 90.00 90.00
Space group Immm (No. 71)
Symmetry-distinct sites (fractional):
Pr1 0.000 0.000 0.128 x4
Ho1 0.000 0.500 0.000 x2
Ag1 0.000 0.199 0.328 x8
Sn1 0.000 0.297 0.500 x4
Sn2 0.000 0.500 0.210 x4

3.
A geometry-optimized Tm3FeB3 structure, computed with PBE-GGA.

Lattice parameters (Å, degrees): 11.042 3.569 11.918 90.00 112.85 90.00
Space group C2/m (No. 12)
Symmetry-distinct sites (fractional):
Tm1 0.023 0.000 0.376 x4
Tm2 0.100 0.000 0.924 x4
Tm3 0.229 0.000 0.222 x4
Fe1 0.237 0.500 0.412 x4
B1 0.063 0.500 0.073 x4
B2 0.065 0.500 0.223 x4
B3 0.167 0.500 0.547 x4

4.
A geometry-optimized Ho3Mg3PdPt2 structure, computed with PBE-GGA.

Lattice parameters (Å, degrees): 7.4112 7.4112 4.0213 90.00 90.00 120.00
Space group P-62m (No. 189)
Symmetry-distinct sites (fractional):
Ho1 0.0000 0.4135 0.0000 x3
Mg1 0.0000 0.7531 0.5000 x3
Pd1 0.0000 0.0000 0.0000 x1
Pt1 0.3333 0.6667 0.5000 x2

5.
A geometry-optimized YZnCuSe3 structure, computed with PBE-GGA.

Lattice parameters (Å, degrees): 3.810 12.702 10.674 90.00 90.00 90.00
Space group Cmcm (No. 63)
Symmetry-distinct sites (fractional):
Y1 0.000 0.000 0.000 x4
Zn1 0.000 0.226 0.250 x4
Cu1 0.000 0.481 0.750 x4
Se1 0.000 0.108 0.750 x4
Se2 0.000 0.349 0.583 x8

6.
A geometry-optimized HoErGe2 structure, computed with PBE-GGA.

Properties
relative energy among the computed polymorphs	0.400	eV per atom

Lattice parameters (Å, degrees): 4.105 23.991 4.043 90.00 90.00 90.00
Space group Cmcm (No. 63)
Symmetry-distinct sites (fractional):
Ho1 0.000 0.060 0.250 x4
Er1 0.000 0.338 0.250 x4
Ge1 0.000 0.250 0.750 x4
Ge2 0.000 0.460 0.250 x4

7.
A geometry-optimized HfReSi structure, computed with PBE-GGA.

Lattice parameters (Å, degrees): 7.1660 7.1660 3.3548 90.00 90.00 120.00
Space group P-62m (No. 189)
Symmetry-distinct sites (fractional):
Hf1 0.0000 0.6063 0.0000 x3
Re1 0.0000 0.0000 0.0000 x1
Re2 0.3333 0.6667 0.5000 x2
Si1 0.0000 0.2724 0.5000 x3

8.
A geometry-optimized Pm3HgPt8 structure, computed with PBE-GGA.

Properties
formation energy from the elements	-0.93	eV per atom

Lattice parameters (Å, degrees): 5.4623 5.4623 26.8108 90.00 90.00 120.00
Space group R3m (No. 160, hexagonal axes)
Symmetry-distinct sites (fractional):
Pm1 0.0000 0.0000 0.0000 x3
Pm2 0.0000 0.0000 0.1290 x3
Pm3 0.0000 0.0000 0.5147 x3
Hg1 0.0000 0.0000 0.6359 x3
Pt1 0.0000 0.0000 0.3190 x3
Pt2 0.0000 0.0000 0.8190 x3
Pt3 0.0014 0.5007 0.0705 x9
Pt4 0.1686 0.3371 0.9011 x9

Number 1: VASP energy -5.903 eV per atom. Number 2: VASP energy -4.295 eV per atom. Number 3: VASP energy -6.291 eV per atom. Number 4: VASP energy -4.847 eV per atom. Number 5: VASP energy -4.487 eV per atom. Number 6: VASP energy -5.057 eV per atom. Number 7: VASP energy -9.669 eV per atom. Number 8: VASP energy -6.179 eV per atom.